An optimized crystal structure of AcPuRu, computed with GGA-PBE.

Cell and atoms, written as CIF:
```
data_AcPuRu
_cell_length_a 4.4265
_cell_length_b 4.4265
_cell_length_c 4.9705
_cell_angle_alpha 90.00
_cell_angle_beta 90.00
_cell_angle_gamma 120.00
_symmetry_space_group_name_H-M 'P -6 m 2'
_symmetry_Int_Tables_number 187
_symmetry_space_group_name_Hall 'P -6 2'
loop_
_atom_site_label
_atom_site_fract_x
_atom_site_fract_y
_atom_site_fract_z
_atom_site_occupancy
Ac1 0.0000 0.0000 0.0000 1
Pu1 0.6667 0.3333 0.5000 1
Ru1 0.3333 0.6667 0.5000 1
```

Summary:
V: 28.1 Å³ per atom
energy relative to the lowest polymorph listed for this composition: 108 meV per atom
E_form: 0.35 kJ per mole of atoms